Material: Cs3SiS
Method: DFT, SCAN
State: PBEsol geometry

Values from the calculation:
- Formation energy without anion corrections: -0.256 eV/atom
- Raw total energy: -26.871 eV per atom
- Space-group type: Pm-3m
- Calculated density: 2.67 g/cm³

Unit cell a=6.583 b=6.583 c=6.583 alpha=90.00 beta=90.00 gamma=90.00
Last column: magnetic moment on the atom in μB.
Element x y z (fractional)
Cs 0.000 0.500 0.000  0.01
Cs 0.000 0.000 0.500  0.01
Cs 0.500 0.000 0.000  0.01
S 0.000 0.000 0.000  0.02
Si 0.500 0.500 0.500  0.68